FeSi24Ge7 | OQMD via LeMat-Bulk | PBE | relaxed; total DFT energy (no corrections) = -5.27 eV/atom; total moment = 0.0 μB/cell; ρ = 3.08 g cm⁻³; calculated volume = 20.832 Å³/atom
1.0
-0.202 -1.811 6.487
-4.989 -4.432 0.937
9.827 -11.710 -2.959
Fe Ge Si
1 7 24
Cartesian
7.185 -10.636 4.229
4.682 -7.657 4.986
0.437 -10.427 1.820
2.350 -8.952 2.238
1.677 -12.888 4.633
2.940 -13.354 0.925
9.807 -11.703 -2.945
7.226 -14.835 0.757
-4.457 -4.593 3.289
1.131 -2.383 2.875
-1.260 -3.690 0.098
-3.294 -6.934 6.114
-0.694 -3.819 2.399
-1.991 -7.459 2.511
2.443 -2.919 -0.729
-0.146 -6.044 2.974
0.410 -6.164 5.279
3.528 -5.254 2.161
-0.886 -9.800 5.389
1.715 -6.689 1.674
1.176 -6.590 -0.635
2.837 -9.133 4.583
4.228 -9.683 0.911
6.043 -8.270 1.361
3.716 -9.533 -1.387
4.816 -11.885 1.498
5.420 -11.981 3.811
3.978 -15.650 3.940
6.083 -12.445 -2.112
6.647 -12.561 0.182
8.497 -11.184 0.668
7.747 -14.986 3.104